! Ac2IrPd, PBEsol geometry, DFT SCAN; values from VASP
! E_tot, eV/cell: -287.62
&SYSTEM
  ibrav = 0, nat = 4, ntyp = 3
/
ATOMIC_SPECIES
Ac 227.00 Ac.upf
Ir 192.22 Ir.upf
Pd 106.42 Pd.upf
ATOMIC_POSITIONS angstrom
Ac 7.824 4.517 3.194
Ac 2.608 1.506 1.065
Ir 5.216 3.011 2.129
Pd 0.000 0.000 0.000
CELL_PARAMETERS angstrom
5.216 0.000 0.000
2.608 4.517 0.000
2.608 1.506 4.259

! KHfIr2, PBEsol geometry, DFT SCAN; values from VASP
! E_tot, eV/cell: -212.13
&SYSTEM
  ibrav = 0, nat = 4, ntyp = 3
/
ATOMIC_SPECIES
K 39.10 K.upf
Ir 192.22 Ir.upf
Hf 178.49 Hf.upf
ATOMIC_POSITIONS angstrom
K 0.000 0.000 0.000
Ir 2.327 1.343 0.950
Ir 6.981 4.030 2.850
Hf 4.654 2.687 1.900
CELL_PARAMETERS angstrom
4.654 0.000 0.000
2.327 4.030 0.000
2.327 1.343 3.800

! ZrHg2Os, PBEsol geometry, DFT SCAN; values from VASP
! ΔE to the lowest computed polymorph, meV per atom: 85
&SYSTEM
  ibrav = 0, nat = 4, ntyp = 3
/
ATOMIC_SPECIES
Hg 200.59 Hg.upf
Os 190.23 Os.upf
Zr 91.22 Zr.upf
ATOMIC_POSITIONS angstrom
Hg -0.156 -0.053 6.251
Hg -0.048 -0.016 1.912
Os 0.716 -1.990 0.001
Zr 0.614 -2.024 4.083
CELL_PARAMETERS angstrom
-1.274 -2.705 -0.055
2.705 -1.274 0.057
-0.204 -0.069 8.163

! In2Sb, PBEsol geometry, DFT SCAN; values from VASP
! ΔE_f (raw), eV/atom: 0.303
&SYSTEM
  ibrav = 0, nat = 6, ntyp = 2
/
ATOMIC_SPECIES
In 114.82 In.upf
Sb 121.76 Sb.upf
ATOMIC_POSITIONS angstrom
In 1.522 0.879 0.621
In 3.043 1.757 3.106
In 3.043 3.514 0.621
In 4.565 0.879 0.621
Sb 6.087 3.514 2.485
Sb 9.130 5.271 3.727
CELL_PARAMETERS angstrom
6.087 0.000 0.000
3.043 5.271 0.000
3.043 1.757 4.970

! CaLa2Pt, PBEsol geometry, DFT SCAN; values from VASP
! E_tot, eV/cell: -168.60
&SYSTEM
  ibrav = 0, nat = 4, ntyp = 3
/
ATOMIC_SPECIES
Ca 40.08 Ca.upf
Pt 195.08 Pt.upf
La 138.91 La.upf
ATOMIC_POSITIONS angstrom
Ca -2.370 0.059 -1.068
Pt -4.252 0.865 3.154
La -1.227 0.526 2.753
La -2.537 1.086 5.691
CELL_PARAMETERS angstrom
-2.133 2.621 -1.451
-2.606 -2.503 -0.684
-3.764 1.612 8.444

! NaSr2Ag, PBEsol geometry, DFT SCAN; values from VASP
! E_tot, eV/cell: -80.35
&SYSTEM
  ibrav = 0, nat = 4, ntyp = 3
/
ATOMIC_SPECIES
Sr 87.62 Sr.upf
Ag 107.87 Ag.upf
Na 22.99 Na.upf
ATOMIC_POSITIONS angstrom
Sr 1.040 -2.552 2.187
Sr 3.121 -7.655 6.560
Ag 2.080 -5.103 4.374
Na 0.000 0.000 0.000
CELL_PARAMETERS angstrom
-0.923 -5.422 1.658
4.420 -3.313 1.576
0.664 -1.471 5.513

! ScBiSe2N, PBEsol geometry, DFT SCAN; values from VASP
! ΔE_f (raw), eV/atom: -0.207
&SYSTEM
  ibrav = 0, nat = 5, ntyp = 4
/
ATOMIC_SPECIES
Sc 44.96 Sc.upf
Bi 208.98 Bi.upf
Se 78.96 Se.upf
N 14.01 N.upf
ATOMIC_POSITIONS angstrom
Sc 0.000 0.000 0.000
Bi 2.251 -3.141 1.634
Se 0.650 -0.405 2.495
Se 2.337 -0.886 -0.752
N -0.736 -1.850 -0.108
CELL_PARAMETERS angstrom
-1.472 -3.700 -0.217
4.674 -1.771 -1.505
1.300 -0.810 4.990

! Sr4NbAlO8, PBEsol geometry, DFT SCAN; values from VASP
! ΔE_f (raw), eV/atom: -3.180
&SYSTEM
  ibrav = 0, nat = 56, ntyp = 4
/
ATOMIC_SPECIES
Sr 87.62 Sr.upf
Nb 92.91 Nb.upf
Al 26.98 Al.upf
O 16.00 O.upf
ATOMIC_POSITIONS angstrom
Sr 4.375 2.644 7.115
Sr 1.284 0.908 8.847
Sr 1.448 6.723 1.883
Sr 4.196 4.966 0.903
Sr 1.462 3.229 2.635
Sr 4.584 -0.824 13.817
Sr 1.629 -0.372 18.591
Sr 4.153 0.455 4.072
Sr 4.363 1.365 16.859
Sr 4.377 -2.129 17.612
Sr 1.450 1.950 12.380
Sr 1.465 5.444 11.628
Sr 4.541 3.686 10.648
Sr 1.672 4.139 15.422
Sr 4.360 -0.850 7.867
Sr 1.241 5.418 5.677
Nb 1.400 1.682 5.635
Nb 1.512 0.402 15.380
Nb 4.425 2.912 13.860
Nb 4.313 4.192 4.115
Al 4.182 0.489 10.853
Al 4.555 1.769 1.108
Al 1.270 2.825 18.386
Al 1.643 4.105 8.642
O 3.835 0.217 1.519
O 5.335 2.958 18.381
O 5.741 1.609 14.752
O 4.548 5.123 5.771
O 2.829 1.706 14.487
O 0.922 5.656 8.230
O 5.624 5.244 3.113
O 2.711 0.629 6.637
O 4.676 1.212 9.302
O 1.724 1.692 17.054
O 0.086 3.982 13.250
O 2.423 0.357 10.858
O 3.114 3.965 12.858
O 1.277 -0.529 13.724
O 0.084 2.985 4.742
O 4.061 -0.068 19.046
O 4.903 -1.062 11.264
O 2.826 5.262 3.506
O 0.490 1.637 1.113
O 4.637 1.623 12.185
O 4.100 2.902 2.440
O 2.999 -0.668 15.989
O 1.990 4.377 17.975
O 3.402 4.237 8.637
O 2.996 2.888 5.007
O 1.764 4.662 0.448
O 1.149 3.382 10.193
O 0.201 -0.650 16.382
O 5.739 0.612 6.244
O 1.636 0.751 3.979
O 1.188 2.971 7.309
O 4.189 3.843 15.516
CELL_PARAMETERS angstrom
5.825 0.000 0.000
0.000 7.153 0.005
0.000 -2.559 19.490

! Y2ZnH2, PBEsol geometry, DFT SCAN; values from VASP
! E_tot, eV/cell: -79.52
&SYSTEM
  ibrav = 0, nat = 5, ntyp = 3
/
ATOMIC_SPECIES
Y 88.91 Y.upf
H 1.01 H.upf
Zn 65.41 Zn.upf
ATOMIC_POSITIONS angstrom
Y 0.000 0.000 4.211
Y 1.806 1.806 1.730
H 0.000 1.806 2.971
H 1.806 0.000 2.971
Zn 0.000 0.000 0.000
CELL_PARAMETERS angstrom
3.612 0.000 0.000
0.000 3.612 0.000
-1.806 -1.806 5.941

! Al2CrAs2, PBEsol geometry, DFT SCAN; values from VASP
! E_tot, eV/cell: -73.40
&SYSTEM
  ibrav = 0, nat = 5, ntyp = 3
/
ATOMIC_SPECIES
Cr 52.00 Cr.upf
As 74.92 As.upf
Al 26.98 Al.upf
ATOMIC_POSITIONS angstrom
Cr 0.000 0.000 0.000
As -4.994 -0.714 0.462
As -1.138 -2.558 -1.095
Al -2.873 -2.227 0.864
Al -3.260 -1.044 -1.497
CELL_PARAMETERS angstrom
-0.163 -1.180 -3.582
0.612 -3.546 1.140
-6.582 1.454 1.809

! K2LiMo, PBEsol geometry, DFT SCAN; values from VASP
! ΔE to the lowest computed polymorph, meV per atom: 0
&SYSTEM
  ibrav = 0, nat = 4, ntyp = 3
/
ATOMIC_SPECIES
K 39.10 K.upf
Li 6.94 Li.upf
Mo 95.94 Mo.upf
ATOMIC_POSITIONS angstrom
K 5.582 -6.156 3.374
K 2.100 -2.316 1.270
Li -0.705 -1.375 -1.342
Mo 3.136 -5.611 0.980
CELL_PARAMETERS angstrom
-2.144 -1.945 -0.002
0.733 -0.805 -2.682
7.683 -8.472 4.644

! ZnRe2Ni, PBEsol geometry, DFT SCAN; values from VASP
! E_tot, eV/cell: -171.42
&SYSTEM
  ibrav = 0, nat = 4, ntyp = 3
/
ATOMIC_SPECIES
Ni 58.69 Ni.upf
Re 186.21 Re.upf
Zn 65.41 Zn.upf
ATOMIC_POSITIONS angstrom
Ni 1.343 1.907 3.834
Re 0.000 0.000 0.053
Re 1.343 1.907 1.250
Zn 0.000 0.000 2.718
CELL_PARAMETERS angstrom
2.685 0.000 0.000
0.000 3.814 0.000
0.000 0.000 5.237